{"formula": "Pm3Pr2Th2", "functional": "PBE", "state": "relaxed", "e_form_ev_per_atom": 0.0704, "volume_a3_per_fu": 238, "spacegroup": "P-1 (2)", "cell": [[3.405, 0.514, 0.927], [1.388, 12.902, 1.542], [1.886, 1.205, 6.112]], "species": ["Pm", "Pm", "Pm", "Pr", "Pr", "Th", "Th"], "frac_coords": [[0.000, 0.000, 0.000], [0.784, 0.425, 0.288], [0.216, 0.575, 0.712], [0.076, 0.850, 0.574], [0.924, 0.150, 0.426], [0.852, 0.294, 0.853], [0.148, 0.706, 0.147]]}

{"formula": "Pm6Pr3Th", "functional": "PBE", "state": "relaxed", "e_form_ev_per_atom": 0.2220, "volume_a3_per_fu": 351, "spacegroup": "C2/m (12)", "cell": [[6.257, 0.000, -2.539], [-1.106, 9.475, -2.724], [-0.958, -0.922, 6.618]], "species": ["Pr", "Pr", "Pr", "Pm", "Pm", "Pm", "Pm", "Pm", "Pm", "Th"], "frac_coords": [[0.068, 0.694, 0.136], [0.000, 0.000, 0.000], [0.932, 0.306, 0.864], [0.445, 0.320, 0.372], [0.362, 0.083, 0.724], [0.927, 0.320, 0.372], [0.073, 0.680, 0.628], [0.555, 0.680, 0.628], [0.638, 0.917, 0.276], [0.500, 0.500, 0.000]]}

{"formula": "Pm6Pr10Th", "functional": "PBE", "state": "relaxed", "e_form_ev_per_atom": 0.1426, "volume_a3_per_fu": 611, "spacegroup": "P-31m (162)", "cell": [[-0.206, 3.015, 6.430], [-9.732, -2.034, 0.641], [6.696, -6.595, 3.307]], "species": ["Pr", "Pr", "Pr", "Pr", "Pr", "Pr", "Pr", "Pr", "Pr", "Pr", "Pm", "Pm", "Pm", "Pm", "Pm", "Pm", "Th"], "frac_coords": [[0.500, 0.667, 0.333], [0.500, 0.333, 0.667], [0.000, 0.667, 0.333], [0.185, 0.000, 0.728], [0.185, 0.728, 0.000], [0.815, 0.728, 0.728], [0.815, 0.000, 0.272], [0.185, 0.272, 0.272], [0.815, 0.272, 0.000], [0.000, 0.333, 0.667], [0.695, 0.000, 0.630], [0.305, 0.630, 0.630], [0.695, 0.630, 0.000], [0.305, 0.370, 0.000], [0.305, 0.000, 0.370], [0.695, 0.370, 0.370], [0.500, 0.000, 0.000]]}

{"formula": "Pm15Pr4Th", "functional": "PBE", "state": "relaxed", "e_form_ev_per_atom": 0.0227, "volume_a3_per_fu": 695, "spacegroup": "P4/mmm (123)", "cell": [[-0.200, -0.543, 5.152], [-1.255, -4.997, -0.576], [25.080, -6.333, 0.308]], "species": ["Pm", "Pm", "Pm", "Pm", "Pm", "Pm", "Pm", "Pm", "Pm", "Pm", "Pm", "Pm", "Pm", "Pm", "Pm", "Th", "Pr", "Pr", "Pr", "Pr"], "frac_coords": [[0.000, 0.500, 0.903], [0.500, 0.000, 0.097], [0.000, 0.500, 0.097], [0.500, 0.000, 0.500], [0.500, 0.500, 0.400], [0.000, 0.500, 0.299], [0.500, 0.000, 0.299], [0.000, 0.500, 0.701], [0.500, 0.500, 0.600], [0.500, 0.000, 0.701], [0.500, 0.500, 0.000], [0.500, 0.000, 0.903], [0.000, 0.500, 0.500], [0.500, 0.500, 0.199], [0.500, 0.500, 0.801], [0.000, 0.000, 0.000], [0.000, 0.000, 0.199], [0.000, 0.000, 0.400], [0.000, 0.000, 0.801], [0.000, 0.000, 0.600]]}

{"formula": "Pm9Pr11Th4", "functional": "PBE", "state": "relaxed", "e_form_ev_per_atom": 0.1103, "volume_a3_per_fu": 855, "spacegroup": "Cmmm (65)", "cell": [[3.729, 0.000, 0.000], [0.000, 14.524, -6.176], [0.000, 0.029, 15.783]], "species": ["Pr", "Pr", "Pr", "Pr", "Pr", "Pr", "Pr", "Pr", "Pr", "Pr", "Pr", "Pm", "Pm", "Pm", "Pm", "Pm", "Pm", "Pm", "Pm", "Pm", "Th", "Th", "Th", "Th"], "frac_coords": [[0.000, 0.295, 0.295], [0.000, 0.956, 0.592], [0.000, 0.158, 0.842], [0.000, 0.705, 0.705], [0.000, 0.408, 0.044], [0.000, 0.630, 0.370], [0.000, 0.044, 0.408], [0.000, 0.592, 0.956], [0.000, 0.000, 0.000], [0.000, 0.842, 0.158], [0.000, 0.370, 0.630], [0.500, 0.788, 0.934], [0.500, 0.164, 0.634], [0.500, 0.500, 0.500], [0.500, 0.934, 0.788], [0.500, 0.836, 0.366], [0.500, 0.212, 0.066], [0.500, 0.366, 0.836], [0.500, 0.634, 0.164], [0.500, 0.066, 0.212], [0.500, 0.239, 0.444], [0.500, 0.556, 0.761], [0.500, 0.444, 0.239], [0.500, 0.761, 0.556]]}

{"formula": "Pm3Pr3Th", "functional": "PBE", "state": "relaxed", "e_form_ev_per_atom": 0.1745, "volume_a3_per_fu": 253, "spacegroup": "R-3 (148)", "cell": [[6.026, 0.000, 1.937], [2.702, 5.386, 1.937], [-1.483, -0.916, 14.960]], "species": ["Th", "Th", "Pm", "Pm", "Pm", "Pm", "Pm", "Pm", "Pr", "Pr", "Pr", "Pr", "Pr", "Pr"], "frac_coords": [[0.667, 0.667, 0.000], [0.333, 0.333, 0.000], [0.199, 0.867, 0.399], [0.534, 0.199, 0.399], [0.801, 0.133, 0.601], [0.466, 0.801, 0.601], [0.867, 0.534, 0.399], [0.133, 0.466, 0.601], [0.603, 0.936, 0.193], [0.936, 0.268, 0.193], [0.268, 0.603, 0.193], [0.064, 0.732, 0.807], [0.732, 0.397, 0.807], [0.397, 0.064, 0.807]]}

{"formula": "PmPr2Th3", "functional": "PBE", "state": "relaxed", "e_form_ev_per_atom": 0.2043, "volume_a3_per_fu": 204, "spacegroup": "Cmcm (63)", "cell": [[-5.060, 0.654, -4.556], [2.918, -10.119, -4.692], [-4.691, 2.625, 5.587]], "species": ["Th", "Th", "Th", "Th", "Th", "Th", "Pr", "Pr", "Pr", "Pr", "Pm", "Pm"], "frac_coords": [[0.500, 0.500, 0.000], [0.000, 0.500, 0.000], [0.000, 0.166, 0.333], [0.000, 0.834, 0.667], [0.500, 0.166, 0.333], [0.500, 0.834, 0.667], [0.250, 0.897, 0.334], [0.250, 0.563, 0.666], [0.750, 0.437, 0.334], [0.750, 0.103, 0.666], [0.250, 0.230, 0.000], [0.750, 0.770, 0.000]]}

{"formula": "Pm3Pr5Th2", "functional": "PBE", "state": "relaxed", "e_form_ev_per_atom": 0.2065, "volume_a3_per_fu": 351, "spacegroup": "C2/c (15)", "cell": [[9.034, 2.023, -4.358], [0.401, 9.231, -4.369], [-2.329, -2.758, 10.646]], "species": ["Pr", "Pr", "Pr", "Pr", "Pr", "Pr", "Pr", "Pr", "Pr", "Pr", "Th", "Th", "Th", "Th", "Pm", "Pm", "Pm", "Pm", "Pm", "Pm"], "frac_coords": [[0.623, 0.873, 0.248], [0.724, 0.474, 0.947], [0.125, 0.374, 0.248], [0.974, 0.224, 0.449], [0.026, 0.776, 0.551], [0.377, 0.127, 0.752], [0.276, 0.526, 0.053], [0.487, 0.737, 0.475], [0.513, 0.263, 0.525], [0.875, 0.626, 0.752], [0.783, 0.030, 0.752], [0.217, 0.970, 0.248], [0.469, 0.722, 0.752], [0.531, 0.278, 0.248], [0.236, 0.986, 0.972], [0.024, 0.777, 0.250], [0.275, 0.527, 0.750], [0.764, 0.014, 0.028], [0.976, 0.223, 0.750], [0.725, 0.473, 0.250]]}

{"formula": "Pm4PrTh", "functional": "PBE", "state": "relaxed", "e_form_ev_per_atom": 0.2439, "volume_a3_per_fu": 207, "spacegroup": "Cmcm (63)", "cell": [[6.596, -0.485, 0.000], [-2.925, 5.932, 0.000], [0.000, 0.000, 10.979]], "species": ["Th", "Th", "Pm", "Pm", "Pm", "Pm", "Pm", "Pm", "Pm", "Pm", "Pr", "Pr"], "frac_coords": [[0.000, 0.000, 0.000], [0.000, 0.000, 0.500], [0.340, 0.172, 0.250], [0.335, 0.665, 0.437], [0.665, 0.335, 0.937], [0.660, 0.828, 0.750], [0.172, 0.340, 0.750], [0.665, 0.335, 0.563], [0.335, 0.665, 0.063], [0.828, 0.660, 0.250], [0.827, 0.173, 0.250], [0.173, 0.827, 0.750]]}

{"formula": "Pm2PrTh4", "functional": "PBE", "state": "relaxed", "e_form_ev_per_atom": 0.0822, "volume_a3_per_fu": 237, "spacegroup": "Cmmm (65)", "cell": [[3.568, 0.000, -0.471], [0.000, 3.592, 0.000], [0.613, 0.000, 18.402]], "species": ["Th", "Th", "Th", "Th", "Pm", "Pm", "Pr"], "frac_coords": [[0.927, 0.500, 0.854], [0.073, 0.500, 0.146], [0.361, 0.000, 0.722], [0.639, 0.000, 0.278], [0.794, 0.500, 0.587], [0.206, 0.500, 0.413], [0.500, 0.000, 0.000]]}

{"formula": "Pm4Pr5Th", "functional": "PBE", "state": "relaxed", "e_form_ev_per_atom": 0.0245, "volume_a3_per_fu": 351, "spacegroup": "C2/m (12)", "cell": [[3.589, 0.000, -0.782], [-0.235, 10.385, -1.079], [0.205, -1.658, 9.565]], "species": ["Pr", "Pr", "Pr", "Pr", "Pr", "Pm", "Pm", "Pm", "Pm", "Th"], "frac_coords": [[0.301, 0.402, 0.602], [0.901, 0.193, 0.802], [0.699, 0.598, 0.398], [0.099, 0.807, 0.198], [0.500, 0.500, 0.000], [0.698, 0.101, 0.396], [0.902, 0.709, 0.804], [0.302, 0.899, 0.604], [0.098, 0.291, 0.196], [0.500, 0.000, 0.000]]}

{"formula": "Pm3Pr3Th2", "functional": "PBE", "state": "relaxed", "e_form_ev_per_atom": 0.0403, "volume_a3_per_fu": 277, "spacegroup": "C2/m (12)", "cell": [[-4.901, -0.613, 1.373], [1.171, -4.502, 2.162], [0.081, 2.329, 10.874]], "species": ["Pm", "Pm", "Pm", "Pr", "Pr", "Pr", "Th", "Th"], "frac_coords": [[0.500, 0.500, 0.000], [0.630, 0.130, 0.740], [0.370, 0.870, 0.260], [0.870, 0.370, 0.260], [0.130, 0.630, 0.740], [0.000, 0.000, 0.000], [0.250, 0.250, 0.500], [0.750, 0.750, 0.500]]}

{"formula": "Pm3Pr12Th", "functional": "PBE", "state": "relaxed", "e_form_ev_per_atom": 0.0236, "volume_a3_per_fu": 570, "spacegroup": "P4/mmm (123)", "cell": [[-2.332, 3.291, 3.323], [-4.433, -0.371, -2.743], [-5.960, -16.158, 11.817]], "species": ["Pr", "Pr", "Pr", "Pr", "Pr", "Pr", "Pr", "Pr", "Pr", "Pr", "Pr", "Pr", "Pm", "Pm", "Pm", "Th"], "frac_coords": [[0.500, 0.500, 0.251], [0.000, 0.500, 0.626], [0.000, 0.500, 0.878], [0.000, 0.500, 0.374], [0.500, 0.500, 0.000], [0.500, 0.000, 0.878], [0.500, 0.000, 0.626], [0.500, 0.000, 0.374], [0.000, 0.500, 0.122], [0.500, 0.000, 0.122], [0.500, 0.500, 0.749], [0.500, 0.500, 0.500], [0.000, 0.000, 0.500], [0.000, 0.000, 0.751], [0.000, 0.000, 0.249], [0.000, 0.000, 0.000]]}

{"formula": "Pm6Pr8Th", "functional": "PBE", "state": "relaxed", "e_form_ev_per_atom": 0.1138, "volume_a3_per_fu": 534, "spacegroup": "R-3 (148)", "cell": [[8.012, 0.107, 3.848], [2.465, 7.624, 3.848], [0.145, 0.107, 8.887]], "species": ["Pm", "Pm", "Pm", "Pm", "Pm", "Pm", "Pr", "Pr", "Pr", "Pr", "Pr", "Pr", "Pr", "Pr", "Th"], "frac_coords": [[0.540, 0.241, 0.098], [0.098, 0.540, 0.241], [0.241, 0.098, 0.540], [0.759, 0.902, 0.460], [0.902, 0.460, 0.759], [0.460, 0.759, 0.902], [0.755, 0.114, 0.715], [0.886, 0.285, 0.245], [0.114, 0.715, 0.755], [0.422, 0.422, 0.422], [0.285, 0.245, 0.886], [0.715, 0.755, 0.114], [0.245, 0.886, 0.285], [0.578, 0.578, 0.578], [0.000, 0.000, 0.000]]}

{"formula": "Pm4PrTh", "functional": "PBE", "state": "relaxed", "e_form_ev_per_atom": 0.3144, "volume_a3_per_fu": 207, "spacegroup": "F-43m (216)", "cell": [[-3.555, -5.352, -1.687], [1.751, -5.998, 2.258], [-3.752, -3.063, 4.547]], "species": ["Pm", "Pm", "Pm", "Pm", "Pr", "Th"], "frac_coords": [[0.624, 0.127, 0.624], [0.624, 0.624, 0.127], [0.624, 0.624, 0.624], [0.127, 0.624, 0.624], [0.000, 0.000, 0.000], [0.250, 0.250, 0.250]]}

{"formula": "Pm2PrTh", "functional": "PBE", "state": "relaxed", "e_form_ev_per_atom": 0.0857, "volume_a3_per_fu": 139, "spacegroup": "Cmcm (63)", "cell": [[-2.568, -2.861, -3.985], [2.906, -1.990, -0.444], [-6.244, -8.153, 9.877]], "species": ["Pr", "Pr", "Pm", "Pm", "Pm", "Pm", "Th", "Th"], "frac_coords": [[0.750, 0.782, 0.565], [0.250, 0.218, 0.435], [0.250, 0.346, 0.692], [0.750, 0.911, 0.821], [0.250, 0.089, 0.179], [0.750, 0.654, 0.308], [0.250, 0.472, 0.943], [0.750, 0.528, 0.057]]}

{"formula": "Pm5Pr4Th", "functional": "PBE", "state": "relaxed", "e_form_ev_per_atom": 0.0268, "volume_a3_per_fu": 350, "spacegroup": "C2/m (12)", "cell": [[-1.598, 1.381, 3.007], [1.128, -6.334, 3.507], [12.059, 5.222, 1.766]], "species": ["Pr", "Pr", "Pr", "Pr", "Pm", "Pm", "Pm", "Pm", "Pm", "Th"], "frac_coords": [[0.701, 0.102, 0.401], [0.903, 0.707, 0.806], [0.299, 0.898, 0.599], [0.097, 0.293, 0.194], [0.500, 0.500, 0.000], [0.097, 0.805, 0.193], [0.903, 0.195, 0.807], [0.700, 0.600, 0.400], [0.300, 0.400, 0.600], [0.500, 0.000, 0.000]]}

{"formula": "Pm5Pr2Th4", "functional": "PBE", "state": "relaxed", "e_form_ev_per_atom": 0.3166, "volume_a3_per_fu": 398, "spacegroup": "C2/m (12)", "cell": [[3.427, 0.000, -0.549], [0.017, 9.576, 0.108], [0.184, 0.882, 12.117]], "species": ["Pr", "Pr", "Pm", "Pm", "Pm", "Pm", "Pm", "Th", "Th", "Th", "Th"], "frac_coords": [[0.261, 0.305, 0.522], [0.739, 0.695, 0.478], [0.129, 0.475, 0.259], [0.139, 0.086, 0.278], [0.500, 0.000, 0.000], [0.871, 0.525, 0.741], [0.861, 0.914, 0.722], [0.004, 0.327, 0.008], [0.390, 0.217, 0.780], [0.610, 0.783, 0.220], [0.996, 0.673, 0.992]]}

{"formula": "Pm2Pr7Th2", "functional": "PBE", "state": "relaxed", "e_form_ev_per_atom": 0.1528, "volume_a3_per_fu": 391, "spacegroup": "C2/m (12)", "cell": [[-5.243, -8.000, -5.367], [-0.603, -0.836, 3.532], [-6.639, 8.061, 3.353]], "species": ["Th", "Th", "Pr", "Pr", "Pr", "Pr", "Pr", "Pr", "Pr", "Pm", "Pm"], "frac_coords": [[0.255, 0.500, 0.255], [0.745, 0.500, 0.745], [0.919, 0.174, 0.591], [0.591, 0.826, 0.919], [0.597, 0.434, 0.403], [0.409, 0.174, 0.081], [0.081, 0.826, 0.409], [0.000, 0.000, 0.000], [0.403, 0.566, 0.597], [0.207, 0.763, 0.793], [0.793, 0.237, 0.207]]}

{"formula": "Pm2Pr4Th", "functional": "PBE", "state": "relaxed", "e_form_ev_per_atom": 0.2282, "volume_a3_per_fu": 250, "spacegroup": "Cmmm (65)", "cell": [[3.502, 0.000, 0.000], [0.000, 5.629, -2.264], [0.000, 1.578, 12.051]], "species": ["Pr", "Pr", "Pr", "Pr", "Th", "Pm", "Pm"], "frac_coords": [[0.500, 0.633, 0.266], [0.500, 0.367, 0.734], [0.000, 0.077, 0.154], [0.000, 0.923, 0.846], [0.000, 0.500, 0.000], [0.500, 0.215, 0.429], [0.500, 0.785, 0.571]]}